Material: ReMo2Ir
Method: DFT, PBE
State: relaxed

a b c (Å): 9.2530 2.7643 4.8533
angles (deg): 90.00 99.34 90.00
Last column: nearest neighbours and their distance in Å.
Atoms (fractional coordinates):
Re: 0.0000 0.0000 0.0000  3 Ir 2.71-2.84, 7 Mo 2.75-2.84, 2 Re 2.76
Re: 0.5000 0.5000 0.0000  3 Ir 2.71-2.84, 7 Mo 2.75-2.84, 2 Re 2.76
Mo: 0.0142 0.5000 0.5155  5 Mo 2.74-2.89, 4 Re 2.75-2.84, 3 Ir 2.76-2.80
Mo: 0.2543 0.5000 0.2503  5 Mo 2.74-2.89, 3 Re 2.75-2.83, 4 Ir 2.76-2.82
Mo: 0.5142 0.0000 0.5155  5 Mo 2.74-2.89, 4 Re 2.75-2.84, 3 Ir 2.76-2.80
Mo: 0.7543 0.0000 0.2503  5 Mo 2.74-2.89, 3 Re 2.75-2.83, 4 Ir 2.76-2.82
Ir: 0.2606 0.0000 0.7596  3 Re 2.71-2.84, 7 Mo 2.76-2.82, 2 Ir 2.76
Ir: 0.7606 0.5000 0.7596  3 Re 2.71-2.84, 7 Mo 2.76-2.82, 2 Ir 2.76

## Properties
- space-group type = Cm
- distance to the lowest polymorph of the same formula (meV/atom) = 42.4
- magnetic moment (μB per formula unit) = 0.00
- formation enthalpy at 0 K (meV per atom) = -27
- density (g cm⁻³) = 15.46
- E (eV per atom) = -10.77

=====

Material: Hf2Si2Ge
Method: DFT, PBE
State: relaxed

a b c (Å): 3.4865 3.4865 14.8474
angles (deg): 90.00 90.00 90.00
Last column: nearest neighbours and their distance in Å.
Atoms (fractional coordinates):
Hf: 0.0000 0.0000 0.1064  4 Si 2.75, 4 Ge 2.93
Hf: 0.0000 0.0000 0.8936  4 Si 2.75, 4 Ge 2.93
Hf: 0.5000 0.5000 0.3936  4 Si 2.75, 4 Ge 2.93
Hf: 0.5000 0.5000 0.6064  4 Si 2.75, 4 Ge 2.93
Si: 0.0000 0.5000 0.2500  4 Si 2.47, 4 Hf 2.75
Si: 0.0000 0.5000 0.7500  4 Si 2.47, 4 Hf 2.75
Si: 0.5000 0.0000 0.2500  4 Si 2.47, 4 Hf 2.75
Si: 0.5000 0.0000 0.7500  4 Si 2.47, 4 Hf 2.75
Ge: 0.0000 0.0000 0.5000  8 Hf 2.93
Ge: 0.5000 0.5000 0.0000  8 Hf 2.93

## Properties
- space-group type = I4/mmm
- formation energy without anion corrections (eV per atom) = -0.461
- distance to the lowest polymorph of the same formula (meV/atom) = 0.0
- magnetic moment (μB per formula unit) = 0.00
- density (g cm⁻³) = 8.94
- E (eV per atom) = -7.54

=====

Material: CuGeP
Method: DFT, PBE
State: relaxed

a b c (Å): 3.5241 3.5241 7.6913
angles (deg): 90.00 90.00 90.00
Last column: nearest neighbours and their distance in Å.
Atoms (fractional coordinates):
Cu: 0.0000 0.0000 0.0000  1 P 2.40, 1 Ge 2.52
Cu: 0.5000 0.5000 0.5000  1 P 2.40, 1 Ge 2.52
Ge: 0.0000 0.0000 0.6719  5 Cu 2.52-2.82, 5 P 2.71-2.77
Ge: 0.5000 0.5000 0.1719  5 Cu 2.52-2.82, 5 P 2.71-2.77
P: 0.0000 0.0000 0.3117  1 Cu 2.40
P: 0.5000 0.5000 0.8117  1 Cu 2.40

## Properties
- space-group type = I4mm
- distance to the lowest polymorph of the same formula (meV/atom) = 240.5
- magnetic moment (μB per formula unit) = 0.00
- formation enthalpy at 0 K (meV per atom) = 349
- density (g cm⁻³) = 5.81
- E (eV per atom) = -4.36

=====

Material: Mn2PPb
Method: DFT, PBE
State: relaxed

a b c (Å): 3.2323 3.2323 6.6328
angles (deg): 90.00 90.00 90.00
Last column: nearest neighbours and their distance in Å.
Atoms (fractional coordinates):
Mn: 0.0000 0.0000 0.0000  1 P 2.31
Mn: 0.5000 0.5000 0.2317  4 P 2.41
P: 0.0000 0.0000 0.3489  5 Mn 2.31-2.41
Pb: 0.5000 0.5000 0.7277  4 Mn 2.91, 4 Pb 3.23

## Properties
- space-group type = P4mm
- magnetic moment (μB per formula unit) = 5.59
- formation enthalpy at 0 K (meV per atom) = 103
- density (g cm⁻³) = 8.34
- E (eV per atom) = -6.76

=====

Material: Pm3Dy7Ho
Method: DFT, PBE
State: relaxed

a b c (Å): 6.9487 5.5331 9.9887
angles (deg): 90.00 109.52 90.00
Last column: nearest neighbours and their distance in Å.
Atoms (fractional coordinates):
Pm: 0.0000 0.0000 0.0000  2 Ho 3.47, 10 Dy 3.53-3.82
Pm: 0.2807 0.5000 0.4966  1 Pm 3.03, 2 Dy 3.35-3.37
Pm: 0.7193 0.5000 0.5034  1 Pm 3.03, 2 Dy 3.35-3.37
Dy: 0.0000 0.0000 0.5000  4 Pm 3.39, 2 Dy 3.80
Dy: 0.1481 0.5000 0.7893  3 Dy 3.27-3.57, 2 Pm 3.35-3.37
Dy: 0.3209 0.5000 0.1370  5 Dy 3.27-3.57, 2 Ho 3.49, 2 Pm 3.53
Dy: 0.4227 0.0000 0.3291  3 Dy 3.22-3.31, 1 Ho 3.50, 5 Pm 3.54-3.60
Dy: 0.5773 0.0000 0.6709  3 Dy 3.22-3.31, 1 Ho 3.50, 5 Pm 3.54-3.60
Dy: 0.6791 0.5000 0.8630  5 Dy 3.27-3.57, 2 Ho 3.49, 2 Pm 3.53
Dy: 0.8519 0.5000 0.2107  3 Dy 3.27-3.57, 2 Pm 3.35-3.37
Ho: 0.5000 0.0000 0.0000  2 Pm 3.47, 10 Dy 3.49-3.82

## Properties
- space-group type = P2/m
- distance to the lowest polymorph of the same formula (meV/atom) = 0.0
- magnetic moment (μB per formula unit) = 0.00
- formation enthalpy at 0 K (meV per atom) = 143
- density (g cm⁻³) = 7.97
- E (eV per atom) = -4.50

=====

Material: Co2CuCl
Method: DFT, PBE
State: relaxed

a b c (Å): 3.4965 3.4965 8.9737
angles (deg): 90.00 90.00 90.00
Last column: nearest neighbours and their distance in Å.
Atoms (fractional coordinates):
Co: 0.0000 0.5000 0.2500  4 Co 2.47
Co: 0.0000 0.5000 0.7500  4 Co 2.47
Co: 0.5000 0.0000 0.2500  4 Co 2.47
Co: 0.5000 0.0000 0.7500  4 Co 2.47
Cu: 0.0000 0.0000 0.0000  4 Cl 2.47
Cu: 0.5000 0.5000 0.5000  4 Cl 2.47
Cl: 0.0000 0.0000 0.5000  4 Cu 2.47
Cl: 0.5000 0.5000 0.0000  4 Cu 2.47

## Properties
- space-group type = I4/mmm
- formation energy without anion corrections (eV per atom) = 0.719
- distance to the lowest polymorph of the same formula (meV/atom) = 511.3
- magnetic moment (μB per formula unit) = 4.00
- density (g cm⁻³) = 6.57
- E (eV per atom) = -4.32